No. 1
Computed, not measured: ZnCuAg2 after structural relaxation at the GGA-PBE level of DFT.

## Properties
Energy of formation, eV per formula unit: 0.0
M_tot, μB/f.u.: 0.000

Unit cell a=2.940 b=3.604 c=5.908 alpha=90.00 beta=90.00 gamma=90.00
Positions (direct):
Zn 0.000 0.000 0.000
Cu 0.500 0.500 0.788
Ag 0.000 0.000 0.542
Ag 0.500 0.500 0.254


No. 2
Computed, not measured: ZnCu2Ag after structural relaxation at the GGA-PBE level of DFT.

## Properties
Energy of formation, eV per formula unit: 0.2
M_tot, μB/f.u.: 0.000

Unit cell a=8.761 b=8.761 c=8.761 alpha=18.16 beta=18.16 gamma=18.16
Positions (direct):
Zn 0.000 0.000 0.000
Cu 0.254 0.254 0.254
Cu 0.746 0.746 0.746
Ag 0.500 0.500 0.500


No. 3
Computed, not measured: ZnCuAg2 after structural relaxation at the GGA-PBE level of DFT.

## Properties
Energy of formation, eV per formula unit: 0.3
M_tot, μB/f.u.: 0.000

Unit cell a=8.977 b=8.977 c=8.977 alpha=18.49 beta=18.49 gamma=18.49
Positions (direct):
Zn 0.000 0.000 0.000
Cu 0.167 0.167 0.167
Ag 0.582 0.582 0.582
Ag 0.752 0.752 0.752


No. 4
Computed, not measured: Zn2CuAg after structural relaxation at the GGA-PBE level of DFT.

## Properties
Energy of formation, eV per formula unit: -0.1
M_tot, μB/f.u.: 0.000

Unit cell a=2.774 b=4.301 c=5.027 alpha=90.00 beta=97.70 gamma=90.00
Positions (direct):
Zn 0.000 0.000 0.000
Zn 0.009 0.500 0.695
Cu 0.408 0.000 0.533
Ag 0.560 0.500 0.202


No. 5
Computed, not measured: Zn2CuAg2 after structural relaxation at the GGA-PBE level of DFT.

## Properties
ΔE to the lowest computed polymorph, eV per formula unit: 0.269
Energy of formation, eV per formula unit: 0.5
M_tot, μB/f.u.: 0.000

Unit cell a=6.976 b=6.976 c=3.324 alpha=90.00 beta=90.00 gamma=90.00
Positions (direct):
Zn 0.135 0.365 0.000
Zn 0.365 0.865 0.000
Zn 0.635 0.135 0.000
Zn 0.865 0.635 0.000
Cu 0.000 0.000 0.000
Cu 0.500 0.500 0.000
Ag 0.165 0.665 0.500
Ag 0.335 0.165 0.500
Ag 0.665 0.835 0.500
Ag 0.835 0.335 0.500


No. 6
Computed, not measured: Zn2Cu3Ag after structural relaxation at the GGA-PBE level of DFT.

## Properties
Energy of formation, eV per formula unit: -0.2
M_tot, μB/f.u.: 0.000

Unit cell a=7.279 b=7.279 c=7.958 alpha=122.82 beta=122.82 gamma=28.24
Positions (direct):
Zn 0.091 0.091 0.238
Zn 0.261 0.261 0.150
Zn 0.739 0.739 0.850
Zn 0.909 0.909 0.762
Cu 0.080 0.080 0.690
Cu 0.248 0.248 0.618
Cu 0.418 0.418 0.538
Cu 0.582 0.582 0.462
Cu 0.752 0.752 0.382
Cu 0.920 0.920 0.310
Ag 0.413 0.413 0.040
Ag 0.587 0.587 0.960


No. 7
Computed, not measured: Zn2CuAg after structural relaxation at the GGA-PBE level of DFT.

## Properties
Energy of formation, eV per formula unit: 0.0
M_tot, μB/f.u.: 0.000

Unit cell a=8.739 b=8.739 c=8.739 alpha=18.67 beta=18.67 gamma=18.67
Positions (direct):
Zn 0.000 0.000 0.000
Zn 0.178 0.178 0.178
Cu 0.589 0.589 0.589
Ag 0.422 0.422 0.422


No. 8
Computed, not measured: Zn2CuAg after structural relaxation at the GGA-PBE level of DFT.

## Properties
Energy of formation, eV per formula unit: 0.1
M_tot, μB/f.u.: 0.000

Unit cell a=4.376 b=4.376 c=4.376 alpha=60.00 beta=60.00 gamma=60.00
Positions (direct):
Zn 0.000 0.000 0.000
Zn 0.250 0.250 0.250
Cu 0.750 0.750 0.750
Ag 0.500 0.500 0.500